A geometry-optimized K4As2PdAu structure. Source: OQMD via LeMat-Bulk, functional PBE.

Cell lengths 6.4004, 6.4004, 5.8615 Å; angles 90.16, 90.16, 104.05 degrees
Last column: nearest neighbours and their distance in Å.
Fractional positions:
As1 0.2407 0.2407 0.7443  1 Pd 2.50, 1 Au 2.53
K1 0.3237 0.9785 0.2512  4 As 3.41-3.54, 5 K 3.48-3.78, 2 Pd 3.56-3.80, 2 Au 3.58-3.81
K2 0.9785 0.3237 0.2512  4 As 3.41-3.54, 5 K 3.48-3.78, 2 Pd 3.56-3.80, 2 Au 3.58-3.81
K3 0.0215 0.6763 0.7488  4 As 3.41-3.54, 5 K 3.48-3.78, 2 Pd 3.56-3.80, 2 Au 3.58-3.81
As2 0.7593 0.7593 0.2557  1 Pd 2.50, 1 Au 2.53
K4 0.6763 0.0215 0.7488  4 As 3.41-3.54, 5 K 3.48-3.78, 2 Pd 3.56-3.80, 2 Au 3.58-3.81
Au1 0.5000 0.5000 0.0000  2 As 2.53
Pd1 0.5000 0.5000 0.5000  2 As 2.50

Calculated values
Symmetry: C2/m, No. 12
E (eV/atom): -3.222
Calculated volume (Å³/atom): 29.1



A geometry-optimized K3RbAs2Au2 structure. Source: OQMD via LeMat-Bulk, functional PBE.

Cell lengths 6.3593, 6.4505, 6.4153 Å; angles 90.00, 106.17, 90.00 degrees
Last column: nearest neighbours and their distance in Å.
Fractional positions:
As1 0.7494 0.0000 0.7587  2 Au 2.53
K1 0.3260 0.0000 0.9791  4 As 3.37-3.75, 1 Rb 3.54, 2 Au 3.60
K2 0.6732 0.5000 0.0198  4 As 3.40-3.73, 1 K 3.54, 2 Au 3.59
Au1 0.5025 0.7487 0.4999  2 As 2.53
Rb1 0.9777 0.0000 0.3234  4 As 3.49-3.75, 3 K 3.54-3.90, 4 Au 3.60-3.87
Au2 0.5025 0.2513 0.4999  2 As 2.53
As2 0.2471 0.5000 0.2444  2 Au 2.53
K3 0.0215 0.5000 0.6748  4 As 3.45-3.77, 1 K 3.54, 2 Au 3.56

Calculated values
Symmetry: Pm, No. 6
E (eV/atom): -3.026
Calculated volume (Å³/atom): 31.6



A geometry-optimized KRb3As2Au2 structure. Source: OQMD via LeMat-Bulk, functional PBE.

Cell lengths 6.4859, 6.6059, 6.5261 Å; angles 90.00, 106.82, 90.00 degrees
Last column: nearest neighbours and their distance in Å.
Fractional positions:
Au1 0.4998 0.2509 0.5028  2 As 2.53
Rb1 0.9779 0.0000 0.3232  4 As 3.52-3.87, 1 Rb 3.60, 2 Au 3.64
Au2 0.4998 0.7491 0.5028  2 As 2.53
As1 0.7466 0.0000 0.7493  2 Au 2.53
As2 0.2580 0.5000 0.2480  2 Au 2.53
Rb2 0.3243 0.0000 0.9805  4 As 3.49-3.82, 1 Rb 3.60, 2 Au 3.66
Rb3 0.0206 0.5000 0.6756  4 As 3.56-3.85, 1 K 3.60, 4 Au 3.63-3.96
K1 0.6731 0.5000 0.0179  4 As 3.44-3.83, 1 Rb 3.60, 2 Au 3.62

Calculated values
Symmetry: Pm, No. 6
E (eV/atom): -2.976
Calculated volume (Å³/atom): 33.5



A geometry-optimized KRb2As2Au3 structure. Source: OQMD via LeMat-Bulk, functional PBE.

Cell lengths 7.8164, 7.8164, 7.8164 Å; angles 48.99, 48.99, 48.99 degrees
Last column: nearest neighbours and their distance in Å.
Fractional positions:
As1 0.7492 0.7492 0.7492  3 Au 2.53
Rb1 0.9138 0.9138 0.9138  4 As 3.39-3.74, 1 Rb 3.55, 6 Au 3.69
Au1 0.0000 0.5000 0.5000  2 As 2.53
K1 0.5000 0.5000 0.5000  6 Au 3.91, 6 Rb 4.09, 6 As 4.12
Rb2 0.0862 0.0862 0.0862  4 As 3.39-3.74, 1 Rb 3.55, 6 Au 3.69
As2 0.2507 0.2507 0.2507  3 Au 2.53
Au2 0.5000 0.0000 0.5000  2 As 2.53
Au3 0.5000 0.5000 0.0000  2 As 2.53

Calculated values
Symmetry: R-3m, No. 166
E (eV/atom): -3.247
Calculated volume (Å³/atom): 31.2



A geometry-optimized K2RbAs2Au3 structure. Source: OQMD via LeMat-Bulk, functional PBE.

Cell lengths 7.7647, 7.7647, 7.7647 Å; angles 47.96, 47.96, 47.96 degrees
Last column: nearest neighbours and their distance in Å.
Fractional positions:
Au1 0.5000 0.5000 0.0000  2 As 2.54
As1 0.2476 0.2476 0.2476  3 Au 2.54
K1 0.0852 0.0852 0.0852  4 As 3.34-3.64, 1 K 3.51, 6 Au 3.61
K2 0.9148 0.9148 0.9148  4 As 3.34-3.64, 1 K 3.51, 6 Au 3.61
As2 0.7524 0.7524 0.7524  3 Au 2.54
Rb1 0.5000 0.5000 0.5000  6 Au 3.88, 6 As 4.01, 6 K 4.01
Au2 0.5000 0.0000 0.5000  2 As 2.54
Au3 0.0000 0.5000 0.5000  2 As 2.54

Calculated values
Symmetry: R-3m, No. 166
E (eV/atom): -3.291
Calculated volume (Å³/atom): 29.6



A geometry-optimized K4SbAsAu2 structure. Source: OQMD via LeMat-Bulk, functional PBE.

Cell lengths 6.5338, 6.4691, 6.4691 Å; angles 106.18, 90.00, 90.00 degrees
Last column: nearest neighbours and their distance in Å.
Fractional positions:
K1 0.5000 0.9968 0.3332  1 K 3.48, 2 Sb 3.51-3.62, 2 Au 3.52, 2 As 3.74
K2 0.0000 0.6716 0.0263  2 As 3.46-3.51, 1 K 3.67, 4 Au 3.68-3.84, 2 Sb 3.81
K3 0.5000 0.3332 0.9968  1 K 3.48, 2 Sb 3.51-3.62, 2 Au 3.52, 2 As 3.74
K4 0.0000 0.0263 0.6716  2 As 3.46-3.51, 1 K 3.67, 4 Au 3.68-3.84, 2 Sb 3.81
Au1 0.2375 0.4908 0.4908  1 As 2.53, 1 Sb 2.69
As1 0.0000 0.2336 0.2336  2 Au 2.53
Au2 0.7625 0.4908 0.4908  1 As 2.53, 1 Sb 2.69
Sb1 0.5000 0.7569 0.7569  2 Au 2.69

Calculated values
Symmetry: Amm2, No. 38
E (eV/atom): -2.986
Calculated volume (Å³/atom): 32.8



A geometry-optimized LiLaAsAu structure. Source: OQMD via LeMat-Bulk, functional PBE.

Cell lengths 4.9548, 4.9548, 4.9548 Å; angles 60.00, 60.00, 60.00 degrees
Last column: nearest neighbours and their distance in Å.
Fractional positions:
Li1 0.7500 0.7500 0.7500  4 As 3.03, 4 La 3.03
As1 0.5000 0.5000 0.5000  4 Au 3.03, 4 Li 3.03
Au1 0.2500 0.2500 0.2500  4 As 3.03, 4 La 3.03
La1 0.0000 0.0000 0.0000  4 Li 3.03, 4 Au 3.03

Calculated values
Symmetry: F-43m, No. 216
Energy relative to the lowest polymorph listed for this composition (meV/atom): 315.9
Calculated volume (Å³/atom): 21.5



A geometry-optimized LiLaAsAu structure. Source: OQMD via LeMat-Bulk, functional PBE.

Cell lengths 4.9406, 4.9406, 4.9406 Å; angles 60.00, 60.00, 60.00 degrees
Last column: nearest neighbours and their distance in Å.
Fractional positions:
Li1 0.7500 0.7500 0.7500  4 La 3.03, 4 Au 3.03
La1 0.5000 0.5000 0.5000  4 As 3.03, 4 Li 3.03
As1 0.2500 0.2500 0.2500  4 Au 3.03, 4 La 3.03
Au1 0.0000 0.0000 0.0000  4 As 3.03, 4 Li 3.03

Calculated values
Symmetry: F-43m, No. 216
Energy relative to the lowest polymorph listed for this composition (meV/atom): 362.1
Calculated volume (Å³/atom): 21.3